The following is a GGA-PBE calculation of crystalline BePAuO2 at its relaxed geometry, from the Alexandria database.

Crystal system: tetragonal
Energy relative to the elements, uncorrected (meV per atom): 852
Excess energy over the best structure of this formula in the dataset (meV/atom): 1005.6

Unit cell a=3.8986 b=3.8986 c=5.1776 alpha=90.00 beta=90.00 gamma=90.00
Fractional positions:
Be 0.0000 0.0000 0.0000
P 0.5000 0.5000 0.0000
Au 0.5000 0.5000 0.5000
O 0.0000 0.5000 0.5000
O 0.5000 0.0000 0.5000


The following is a GGA-PBE calculation of crystalline BeP2AuO at its relaxed geometry, from the Alexandria database.

Crystal system: tetragonal
Energy relative to the elements, uncorrected (meV per atom): 1203
Excess energy over the best structure of this formula in the dataset (meV/atom): 1250.6

Unit cell a=4.8998 b=4.8998 c=3.8752 alpha=90.00 beta=90.00 gamma=90.00
Fractional positions:
Be 0.0000 0.0000 0.0000
P 0.0000 0.5000 0.5000
P 0.5000 0.0000 0.5000
Au 0.5000 0.5000 0.5000
O 0.5000 0.5000 0.0000


The following is a GGA-PBE calculation of crystalline BePbAuO2 at its relaxed geometry, from the Alexandria database.

Crystal system: tetragonal
Energy relative to the elements, uncorrected (meV per atom): 410

Unit cell a=4.0651 b=4.0651 c=6.0380 alpha=90.00 beta=90.00 gamma=90.00
Fractional positions:
Be 0.0000 0.0000 0.0000
Pb 0.5000 0.5000 0.5000
Au 0.5000 0.5000 0.0000
O 0.0000 0.5000 0.5000
O 0.5000 0.0000 0.5000


The following is a GGA-PBE calculation of crystalline PuBeAuO6 at its relaxed geometry, from the Alexandria database.

Crystal system: trigonal
Energy relative to the elements, uncorrected (meV per atom): -1414

Unit cell a=5.0722 b=5.0722 c=9.2050 alpha=90.00 beta=90.00 gamma=120.00
Fractional positions:
Pu 0.3333 0.6667 0.2500
Pu 0.6667 0.3333 0.7500
Be 0.3333 0.6667 0.7500
Be 0.6667 0.3333 0.2500
Au 0.0000 0.0000 0.0000
Au 0.0000 0.0000 0.5000
O 0.0211 0.3641 0.6365
O 0.0211 0.6570 0.8635
O 0.3430 0.3641 0.8635
O 0.3430 0.9789 0.6365
O 0.3641 0.0211 0.1365
O 0.3641 0.3430 0.3635
O 0.6359 0.6570 0.6365
O 0.6359 0.9789 0.8635
O 0.6570 0.0211 0.3635
O 0.6570 0.6359 0.1365
O 0.9789 0.3430 0.1365
O 0.9789 0.6359 0.3635


The following is a GGA-PBE calculation of crystalline BeRuAu2O at its relaxed geometry, from the Alexandria database.

Crystal system: tetragonal
Energy relative to the elements, uncorrected (meV per atom): 706

Unit cell a=4.6809 b=4.6809 c=3.7067 alpha=90.00 beta=90.00 gamma=90.00
Fractional positions:
Be 0.0000 0.0000 0.0000
Ru 0.5000 0.5000 0.0000
Au 0.0000 0.5000 0.5000
Au 0.5000 0.0000 0.5000
O 0.5000 0.5000 0.5000


The following is a GGA-PBE calculation of crystalline Be2AuSeO at its relaxed geometry, from the Alexandria database.

Crystal system: tetragonal
Energy relative to the elements, uncorrected (meV per atom): -240

Unit cell a=3.5300 b=3.5300 c=6.6414 alpha=90.00 beta=90.00 gamma=90.00
Fractional positions:
Be 0.0000 0.5000 0.0000
Be 0.5000 0.0000 0.0000
Au 0.0000 0.0000 0.5000
Se 0.5000 0.5000 0.5000
O 0.0000 0.0000 0.0000


The following is a GGA-PBE calculation of crystalline Be2TcAuO at its relaxed geometry, from the Alexandria database.

Crystal system: tetragonal
Energy relative to the elements, uncorrected (meV per atom): -186

Unit cell a=3.8606 b=3.8606 c=3.9063 alpha=90.00 beta=90.00 gamma=90.00
Fractional positions:
Be 0.0000 0.5000 0.0000
Be 0.5000 0.0000 0.0000
Tc 0.0000 0.0000 0.5000
Au 0.5000 0.5000 0.5000
O 0.0000 0.0000 0.0000


The following is a GGA-PBE calculation of crystalline BeTe2AuO at its relaxed geometry, from the Alexandria database.

Crystal system: tetragonal
Energy relative to the elements, uncorrected (meV per atom): 742

Unit cell a=4.8871 b=4.8871 c=4.3576 alpha=90.00 beta=90.00 gamma=90.00
Fractional positions:
Be 0.0000 0.0000 0.0000
Te 0.0000 0.5000 0.0000
Te 0.5000 0.0000 0.0000
Au 0.0000 0.0000 0.5000
O 0.5000 0.5000 0.5000


Respective density values: 5.675 5.068 7.409 8.841 10.632 6.219 9.383 7.613 g cm⁻³.